1.
Density functional theory data (PBE) for a relaxed structure of CuAg.

Cell: 4.738 4.829 5.613 Å, 71.41 89.03 79.61°
Fractional coordinates of all 8 atoms:
Cu: 0.116 0.253 0.445
Cu: 0.365 0.738 0.326
Cu: 0.635 0.262 0.674
Cu: 0.884 0.747 0.555
Ag: 0.125 0.252 0.928
Ag: 0.388 0.760 0.790
Ag: 0.612 0.240 0.210
Ag: 0.875 0.748 0.072

Crystal system: triclinic
Volume in Å³ per atom: 14.95
VASP energy in eV per atom: -3.1745
Energy of formation from the pure elements in meV/atom: 96

***

2.
Density functional theory data (PBE) for a relaxed structure of CuAg.

Cell: 4.784 2.804 9.121 Å, 90.00 100.59 90.00°
Fractional coordinates of all 8 atoms:
Cu: 0.000 0.000 0.000
Cu: 0.243 0.500 0.230
Cu: 0.500 0.500 0.000
Cu: 0.757 0.500 0.770
Ag: 0.000 0.500 0.500
Ag: 0.255 0.000 0.764
Ag: 0.500 0.000 0.500
Ag: 0.745 0.000 0.236

Crystal system: monoclinic
Volume in Å³ per atom: 15.03
VASP energy in eV per atom: -3.1644
Energy of formation from the pure elements in meV/atom: 106

***

3.
Density functional theory data (PBE) for a relaxed structure of CuAg.

Cell: 6.806 2.823 7.955 Å, 90.00 101.25 90.00°
Fractional coordinates of all 10 atoms:
Cu: 0.000 0.000 0.000
Cu: 0.084 0.500 0.265
Cu: 0.268 0.500 0.899
Cu: 0.363 0.000 0.175
Cu: 0.457 0.500 0.448
Ag: 0.172 0.000 0.563
Ag: 0.546 0.000 0.759
Ag: 0.675 0.500 0.070
Ag: 0.771 0.000 0.383
Ag: 0.885 0.500 0.708

Crystal system: monoclinic
Volume in Å³ per atom: 14.99
VASP energy in eV per atom: -3.1814
Energy of formation from the pure elements in meV/atom: 89

***

4.
Density functional theory data (PBE) for a relaxed structure of Cu2Ag7.

Cell: 7.538 7.538 7.538 Å, 157.81 109.98 74.48°
Fractional coordinates of all 9 atoms:
Cu: 0.166 0.166 0.000
Cu: 0.834 0.834 0.000
Ag: 0.160 0.500 0.660
Ag: 0.164 0.829 0.335
Ag: 0.495 0.829 0.665
Ag: 0.500 0.500 0.000
Ag: 0.505 0.171 0.335
Ag: 0.836 0.171 0.665
Ag: 0.840 0.500 0.340

Offset from the most stable computed form in eV per formula unit: 0.349
Crystal system: orthorhombic
Volume in Å³ per atom: 16.73
VASP energy in eV per atom: -2.9575
Energy of formation from the pure elements in meV/atom: 65

***

5.
Density functional theory data (PBE) for a relaxed structure of Cu2Ag5.

Cell: 10.444 10.444 10.444 Å, 164.15 158.47 26.85°
Fractional coordinates of all 7 atoms:
Cu: 0.067 0.067 0.000
Cu: 0.933 0.933 0.000
Ag: 0.212 0.212 0.000
Ag: 0.364 0.364 0.000
Ag: 0.500 0.500 0.000
Ag: 0.636 0.636 0.000
Ag: 0.788 0.788 0.000

Offset from the most stable computed form in eV per formula unit: 0.262
Crystal system: orthorhombic
Volume in Å³ per atom: 16.31
VASP energy in eV per atom: -3.0065
Energy of formation from the pure elements in meV/atom: 73

***

6.
Density functional theory data (PBE) for a relaxed structure of Cu4Ag5.

Cell: 4.877 4.877 11.303 Å, 112.50 112.50 33.72°
Fractional coordinates of all 9 atoms:
Cu: 0.013 0.013 0.337
Cu: 0.346 0.346 0.774
Cu: 0.654 0.654 0.226
Cu: 0.987 0.987 0.663
Ag: 0.000 0.000 0.000
Ag: 0.332 0.332 0.128
Ag: 0.335 0.335 0.436
Ag: 0.665 0.665 0.564
Ag: 0.668 0.668 0.872

Offset from the most stable computed form in eV per formula unit: 0.410
Crystal system: monoclinic
Volume in Å³ per atom: 15.20
VASP energy in eV per atom: -3.1376
Energy of formation from the pure elements in meV/atom: 83

***

7.
Density functional theory data (PBE) for a relaxed structure of CuAg.

Cell: 4.828 4.828 8.701 Å, 91.66 91.66 47.48°
Fractional coordinates of all 10 atoms:
Cu: 0.000 0.000 0.000
Cu: 0.296 0.296 0.091
Cu: 0.502 0.502 0.509
Cu: 0.709 0.709 0.906
Cu: 0.803 0.803 0.606
Ag: 0.102 0.102 0.706
Ag: 0.205 0.205 0.409
Ag: 0.402 0.402 0.809
Ag: 0.599 0.599 0.186
Ag: 0.902 0.902 0.300

Crystal system: monoclinic
Volume in Å³ per atom: 14.94
VASP energy in eV per atom: -3.1712
Energy of formation from the pure elements in meV/atom: 99

***

8.
Density functional theory data (PBE) for a relaxed structure of CuAg.

Cell: 4.915 4.915 11.288 Å, 97.59 97.59 33.55°
Fractional coordinates of all 10 atoms:
Cu: 0.000 0.000 0.000
Cu: 0.102 0.102 0.675
Cu: 0.515 0.515 0.486
Cu: 0.583 0.583 0.182
Cu: 0.929 0.929 0.300
Ag: 0.213 0.213 0.370
Ag: 0.298 0.298 0.108
Ag: 0.414 0.414 0.793
Ag: 0.699 0.699 0.891
Ag: 0.808 0.808 0.583

Crystal system: monoclinic
Volume in Å³ per atom: 14.93
VASP energy in eV per atom: -3.1783
Energy of formation from the pure elements in meV/atom: 92

***

> What is the energy of formation from the pure elements in the seventh record?

99 meV/atom